(1)
Si2HgW after structural relaxation. Source: Alexandria, functional PBE.

For the calculated volume, the calculation gives 16.3 A^3/atom. The value obtained for the uncorrected formation energy is 2.86 eV/f.u. The raw total energy comes out at -5.31 eV per atom.

The space group is I-4m2 (No. 119) and the conventional cell measures 3.820, 3.820 and 8.949 Å, with angles of 90.00, 90.00 and 90.00 degrees. The distinct sites, in fractional coordinates, are Si at (0.000, 0.000, 0.000), Si at (0.000, 0.500, 0.250), Hg at (0.000, 0.000, 0.500) and W at (0.000, 0.500, 0.750).



(2)
LaTl after structural relaxation. Source: Alexandria, functional PBE.

For the calculated volume, the calculation gives 44.6 A^3/atom. The calculation puts the energy of formation from the pure elements at 219 meV per atom. The raw total energy comes out at -3.43 eV per atom.

The space group is P6_3/mmc (No. 194) and the conventional cell measures 5.6373, 5.6373 and 6.4760 Å, with angles of 90.00, 90.00 and 120.00 degrees. The distinct sites, in fractional coordinates, are La at (0.3333, 0.6667, 0.2500) and Tl at (0.3333, 0.6667, 0.7500).



(3)
Al2HgSe4 after structural relaxation. Source: Alexandria, functional PBE.

For the calculated volume, the calculation gives 26.8 A^3/atom. The value obtained for the uncorrected formation energy is -4.74 eV/f.u. The raw total energy comes out at -3.78 eV per atom.

The space group is P-42m (No. 111) and the conventional cell measures 5.536, 5.536 and 6.122 Å, with angles of 90.00, 90.00 and 90.00 degrees. The distinct sites, in fractional coordinates, are Al at (0.000, 0.500, 0.000), Hg at (0.000, 0.000, 0.500) and Se at (0.276, 0.276, 0.764).



(4)
La5NdDyHo2 after structural relaxation. Source: Alexandria, functional PBE.

For the calculated volume, the calculation gives 35.6 A^3/atom. The calculation puts the energy of formation from the pure elements at 126 meV per atom. The raw total energy comes out at -4.67 eV per atom.

The space group is Cmcm (No. 63) and the conventional cell measures 5.515, 21.773 and 10.686 Å, with angles of 90.00, 90.00 and 90.00 degrees. The distinct sites, in fractional coordinates, are La at (0.000, 0.000, 0.000), La at (0.000, 0.123, 0.250), La at (0.000, 0.220, 0.560), La at (0.000, 0.500, 0.250), Nd at (0.000, 0.286, 0.250), Dy at (0.000, 0.100, 0.750) and Ho at (0.000, 0.387, 0.001).



(5)
Th2Be3ZnPt4 after structural relaxation. Source: Alexandria, functional PBE.

For the calculated volume, the calculation gives 17.0 A^3/atom. The calculation puts the energy of formation from the pure elements at -853 meV per atom. The raw total energy comes out at -6.00 eV per atom.

The space group is P-4m2 (No. 115) and the conventional cell measures 4.069, 4.069 and 10.238 Å, with angles of 90.00, 90.00 and 90.00 degrees. The distinct sites, in fractional coordinates, are Th at (0.000, 0.500, 0.246), Be at (0.000, 0.500, 0.883), Be at (0.500, 0.500, 0.500), Zn at (0.000, 0.000, 0.500), Pt at (0.000, 0.000, 0.000), Pt at (0.000, 0.500, 0.651) and Pt at (0.500, 0.500, 0.000).



(6)
AcDyMg2 after structural relaxation. Source: Alexandria, functional PBE.

For the calculated volume, the calculation gives 32.3 A^3/atom. The calculation puts the energy of formation from the pure elements at 89 meV per atom. The raw total energy comes out at -2.89 eV per atom.

The space group is R-3m (No. 166, hexagonal axes) and the conventional cell measures 3.6720, 3.6720 and 33.1448 Å, with angles of 90.00, 90.00 and 120.00 degrees. The distinct sites, in fractional coordinates, are Ac at (0.0000, 0.0000, 0.0000), Dy at (0.0000, 0.0000, 0.5000) and Mg at (0.0000, 0.0000, 0.2450).



Look up the raw total energy of the fifth one. -6.00 eV per atom



What is the formula in the fourth record? La5NdDyHo2